Entry from Alexandria: a relaxed structure of SmMoBrO4 (GGA+U).

Geometry as POSCAR:
```
SmMoBrO4
1.0
7.0151 0.0810 -0.0191
-0.2185 7.4353 -0.0999
-3.3495 -3.4582 10.3612
O Mo Br Sm
16 4 4 4
Direct
0.6739 0.7323 0.9633 O
0.3261 0.2677 0.0367 O
0.0035 0.8589 0.2066 O
0.9965 0.1411 0.7934 O
0.6273 0.6591 0.1980 O
0.3727 0.3409 0.8020 O
0.3789 0.9695 0.8087 O
0.6211 0.0305 0.1913 O
0.0390 0.6109 0.6850 O
0.9610 0.3891 0.3150 O
0.6792 0.4170 0.7016 O
0.3208 0.5830 0.2984 O
0.6834 0.4906 0.4598 O
0.3166 0.5094 0.5402 O
0.6648 0.7895 0.7007 O
0.3352 0.2105 0.2993 O
0.7382 0.8178 0.1354 Mo
0.2618 0.1822 0.8646 Mo
0.7727 0.5758 0.6329 Mo
0.2273 0.4242 0.3671 Mo
0.2564 0.9962 0.5133 Br
0.7436 0.0038 0.4867 Br
0.2068 0.7321 0.9856 Br
0.7932 0.2679 0.0144 Br
0.6372 0.1171 0.7289 Sm
0.3628 0.8829 0.2711 Sm
0.3974 0.6391 0.7696 Sm
0.6026 0.3609 0.2304 Sm
```

Energy, eV per atom: -6.948
Space group: P-1 (2)

---

Entry from Alexandria: a relaxed structure of Sr2MoBrO4 (GGA+U).

Geometry as POSCAR:
```
Sr2MoBrO4
1.0
-0.4013 1.3202 3.1291
1.6220 -3.6071 3.5987
8.4948 2.7434 1.8007
Sr Mo Br O
2 1 1 4
Direct
0.8178 0.5866 0.7777 Sr
0.1822 0.4134 0.2223 Sr
0.0000 0.0000 0.0000 Mo
0.5000 0.5000 0.5000 Br
0.1395 0.9173 0.8036 O
0.3960 0.2611 0.9468 O
0.8605 0.0827 0.1964 O
0.6040 0.7389 0.0532 O
```

Energy, eV per atom: -6.186
Space group: C2/m (12)

---

Entry from Alexandria: a relaxed structure of TbMoBrO4 (GGA+U).

Geometry as POSCAR:
```
TbMoBrO4
1.0
-3.2276 -2.1860 5.1169
-3.6591 -5.0355 -1.6227
3.7427 -5.5180 2.0934
Tb Mo Br O
2 2 2 8
Direct
0.2303 0.2303 0.8815 Tb
0.7697 0.7697 0.1185 Tb
0.6363 0.6363 0.7331 Mo
0.3637 0.3637 0.2669 Mo
0.0115 0.0115 0.2442 Br
0.9885 0.9885 0.7558 Br
0.2977 0.2977 0.5310 O
0.7023 0.7023 0.4690 O
0.1131 0.4927 0.1505 O
0.5396 0.5396 0.2021 O
0.5073 0.8869 0.8495 O
0.4927 0.1131 0.1505 O
0.4604 0.4604 0.7979 O
0.8869 0.5073 0.8495 O
```

Energy, eV per atom: -6.942
Energy relative to the lowest polymorph listed for this composition, kJ/mol of formula units: 1.7
Space group: C2/m (12)